Compound: Rb2BeVF6
Source: the Alexandria database
Functional: GGA+U
Structure: optimized geometry

Cell: 5.9001 5.9001 5.9001 Å, 123.80 123.80 83.53°
Positions (direct):
Rb: 0.2500 0.7500 0.5000
Rb: 0.7500 0.2500 0.5000
Be: 0.0000 0.0000 0.0000
V: 0.5000 0.5000 0.0000
F: 0.2192 0.2192 0.4384
F: 0.2192 0.7808 0.0000
F: 0.2609 0.2609 0.0000
F: 0.7391 0.7391 0.0000
F: 0.7808 0.2192 0.0000
F: 0.7808 0.7808 0.5616

Output
Symmetry = I4/mmm (139)
E = -5.210 eV per atom